No. 1
# LaPrSmEr3 | the Alexandria database | PBE | optimized geometry
data_LaPrSmEr3
_cell_length_a 5.713
_cell_length_b 7.020
_cell_length_c 9.914
_cell_angle_alpha 90.09
_cell_angle_beta 90.08
_cell_angle_gamma 90.00
_space_group_name_H-M_alt 'P -1'
_space_group_IT_number 2
_space_group_name_Hall '-P 1'
loop_
_atom_site_label
_atom_site_fract_x
_atom_site_fract_y
_atom_site_fract_z
La1 0.250 0.004 0.257
Pr1 0.244 0.258 0.917
Sm1 0.250 0.496 0.259
Er1 0.245 0.747 0.583
Er2 0.255 0.252 0.583
Er3 0.255 0.750 0.915
# volume	33.1	A^3/atom
# total DFT energy (no corrections)	-4.617	eV per atom
# calculated density	7785	kg/m³
# total magnetization	0.0	μB/f.u.

No. 2
# ZnRe2As | the Alexandria database | PBE | optimized geometry
data_ZnRe2As
_cell_length_a 2.986
_cell_length_b 4.907
_cell_length_c 8.422
_cell_angle_alpha 90.00
_cell_angle_beta 90.00
_cell_angle_gamma 90.00
_space_group_name_H-M_alt 'C m m m'
_space_group_IT_number 65
_space_group_name_Hall '-C 2 2'
loop_
_atom_site_label
_atom_site_fract_x
_atom_site_fract_y
_atom_site_fract_z
Zn1 0.000 0.000 0.000
Re1 0.000 0.500 0.264
As1 0.000 0.000 0.500
# volume	15.4	A^3/atom
# total DFT energy (no corrections)	-7.138	eV per atom
# calculated density	13800	kg/m³
# total magnetization	0.0	μB/f.u.

No. 3
# Ca2Hg2Rh | the Alexandria database | PBE | optimized geometry
data_Ca2Hg2Rh
_cell_length_a 7.373
_cell_length_b 7.373
_cell_length_c 4.590
_cell_angle_alpha 90.00
_cell_angle_beta 90.00
_cell_angle_gamma 90.00
_space_group_name_H-M_alt 'P 4/m b m'
_space_group_IT_number 127
_space_group_name_Hall '-P 4 2ab'
loop_
_atom_site_label
_atom_site_fract_x
_atom_site_fract_y
_atom_site_fract_z
Ca1 0.178 0.322 0.000
Hg1 0.139 0.639 0.500
Rh1 0.000 0.000 0.500
# volume	24.9	A^3/atom
# total DFT energy (no corrections)	-2.673	eV per atom
# calculated density	7777	kg/m³
# total magnetization	0.0	μB/f.u.

No. 4
# LiCaSn | the Alexandria database | PBE | optimized geometry
data_LiCaSn
_cell_length_a 4.9140
_cell_length_b 4.9140
_cell_length_c 10.8018
_cell_angle_alpha 90.00
_cell_angle_beta 90.00
_cell_angle_gamma 120.00
_space_group_name_H-M_alt 'P -6 m 2'
_space_group_IT_number 187
_space_group_name_Hall 'P -6 2'
loop_
_atom_site_label
_atom_site_fract_x
_atom_site_fract_y
_atom_site_fract_z
Li1 0.0000 0.0000 0.0000
Li2 0.6667 0.3333 0.3033
Ca1 0.3333 0.6667 0.1669
Ca2 0.3333 0.6667 0.5000
Sn1 0.0000 0.0000 0.3516
Sn2 0.6667 0.3333 0.0000
# volume	25.1	A^3/atom
# total DFT energy (no corrections)	-3.202	eV per atom
# calculated density	3655	kg/m³
# total magnetization	0.0	μB/f.u.